Below is Ga2GeAuS6 after structural relaxation, with properties calculated at the PBE level.

Unit cell a=9.5785 b=9.5785 c=6.3878 alpha=106.53 beta=106.53 gamma=86.90
With the nearest neighbours (Å) after each atom.
Positions (direct):
Ga 0.0155 0.8422 0.9922  4 S 2.22-2.37
Ga 0.1578 0.9845 0.5078  4 S 2.22-2.37
Ga 0.8422 0.0155 0.4922  4 S 2.22-2.37
Ga 0.9845 0.1578 0.0078  4 S 2.22-2.37
Ge 0.3088 0.6912 0.7500  4 S 2.25-2.27
Ge 0.6912 0.3088 0.2500  4 S 2.25-2.27
Au 0.4295 0.5705 0.2500  2 S 2.33
Au 0.5705 0.4295 0.7500  2 S 2.33
S 0.0400 0.1856 0.6848  3 Ga 2.35-2.37
S 0.0964 0.6380 0.7994  1 Ga 2.22, 1 Ge 2.25
S 0.1856 0.0400 0.1848  3 Ga 2.35-2.37
S 0.3051 0.4884 0.4592  1 Ge 2.27, 1 Au 2.33
S 0.3620 0.9036 0.7006  1 Ga 2.22, 1 Ge 2.25
S 0.4884 0.3051 0.9592  1 Ge 2.27, 1 Au 2.33
S 0.5116 0.6949 0.0408  1 Ge 2.27, 1 Au 2.33
S 0.6380 0.0964 0.2994  1 Ga 2.22, 1 Ge 2.25
S 0.6949 0.5116 0.5408  1 Ge 2.27, 1 Au 2.33
S 0.8144 0.9600 0.8152  3 Ga 2.35-2.37
S 0.9036 0.3620 0.2006  1 Ga 2.22, 1 Ge 2.25
S 0.9600 0.8144 0.3152  3 Ga 2.35-2.37

Summary:
density of states at the Fermi level = 3.97 states/eV/f.u.
uncorrected formation energy = -0.34 eV/atom
volume = 538.4 Å³/cell